1.
Here is a relaxed PmDy2Mg2Cd2 crystal from the Alexandria database. Energies are from PBE-GGA.

Calculated values
* total moment: 0.00 μB/cell
* space group: No. 166
* energy of formation: -102 meV per atom

Unit cell a=5.0539 b=5.0539 c=9.0367 alpha=73.76 beta=73.76 gamma=60.00
Last column: nearest neighbours and their distance in Å.
Fractional positions:
Dy1 0.1287 0.1287 0.6140  3 Cd 3.27, 1 Pm 3.30, 4 Mg 3.31-3.52, 3 Dy 3.51
Dy2 0.8713 0.8713 0.3860  3 Cd 3.27, 1 Pm 3.30, 4 Mg 3.31-3.52, 3 Dy 3.51
Mg1 0.7343 0.7343 0.7970  3 Cd 2.92
Mg2 0.2657 0.2657 0.2030  3 Cd 2.92
Cd1 0.5954 0.5954 0.2137  3 Mg 2.92, 3 Dy 3.27
Cd2 0.4046 0.4046 0.7863  3 Mg 2.92, 3 Dy 3.27
Pm1 0.0000 0.0000 0.0000  2 Dy 3.30, 6 Mg 3.40, 6 Cd 3.44

2.
Here is a relaxed PmDyMgCd crystal from the Alexandria database. Energies are from PBE-GGA.

Calculated values
* total moment: 0.00 μB/cell
* space group: No. 216
* energy of formation: -203 meV per atom

Unit cell a=5.3785 b=5.3785 c=5.3785 alpha=60.00 beta=60.00 gamma=60.00
Last column: nearest neighbours and their distance in Å.
Fractional positions:
Dy1 0.5000 0.5000 0.5000  4 Mg 3.29, 4 Cd 3.29
Cd1 0.7500 0.7500 0.7500  4 Dy 3.29, 4 Pm 3.29
Pm1 0.0000 0.0000 0.0000  4 Cd 3.29, 4 Mg 3.29
Mg1 0.2500 0.2500 0.2500  4 Pm 3.29, 4 Dy 3.29

3.
Here is a relaxed PmDyMgCd crystal from the Alexandria database. Energies are from PBE-GGA.

Calculated values
* total moment: 0.00 μB/cell
* space group: No. 99
* energy of formation: -204 meV per atom

Unit cell a=3.8038 b=3.8038 c=7.6016 alpha=90.00 beta=90.00 gamma=90.00
Last column: nearest neighbours and their distance in Å.
Fractional positions:
Dy1 0.0000 0.0000 0.3555  4 Cd 3.24, 4 Mg 3.26
Cd1 0.5000 0.5000 0.1175  4 Dy 3.24, 4 Pm 3.34
Pm1 0.0000 0.0000 0.8566  4 Mg 3.33, 4 Cd 3.34
Mg1 0.5000 0.5000 0.5983  4 Dy 3.26, 4 Pm 3.33

4.
Here is a relaxed DyMgCdPt crystal from the Alexandria database. Energies are from PBE-GGA.

Calculated values
* total moment: 0.00 μB/cell
* space group: No. 216
* energy of formation: -640 meV per atom

Unit cell a=4.8992 b=4.8992 c=4.8992 alpha=60.00 beta=60.00 gamma=60.00
Last column: nearest neighbours and their distance in Å.
Fractional positions:
Mg1 0.7500 0.7500 0.7500  4 Cd 3.00, 4 Pt 3.00
Dy1 0.2500 0.2500 0.2500  4 Pt 3.00, 4 Cd 3.00
Cd1 0.0000 0.0000 0.0000  4 Dy 3.00, 4 Mg 3.00
Pt1 0.5000 0.5000 0.5000  4 Mg 3.00, 4 Dy 3.00

5.
Here is a relaxed DyMgCdRh crystal from the Alexandria database. Energies are from PBE-GGA.

Calculated values
* total moment: 0.00 μB/cell
* space group: No. 216
* energy of formation: -407 meV per atom

Unit cell a=4.8702 b=4.8702 c=4.8702 alpha=60.00 beta=60.00 gamma=60.00
Last column: nearest neighbours and their distance in Å.
Fractional positions:
Dy1 0.5000 0.5000 0.5000  4 Cd 2.98, 4 Rh 2.98
Mg1 0.0000 0.0000 0.0000  4 Rh 2.98, 4 Cd 2.98
Rh1 0.2500 0.2500 0.2500  4 Dy 2.98, 4 Mg 2.98
Cd1 0.7500 0.7500 0.7500  4 Dy 2.98, 4 Mg 2.98

6.
Here is a relaxed DyMgCdRu crystal from the Alexandria database. Energies are from PBE-GGA.

Calculated values
* total moment: 0.00 μB/cell
* space group: No. 216
* energy of formation: -110 meV per atom

Unit cell a=4.8531 b=4.8531 c=4.8531 alpha=60.00 beta=60.00 gamma=60.00
Last column: nearest neighbours and their distance in Å.
Fractional positions:
Mg1 0.5000 0.5000 0.5000  4 Cd 2.97, 4 Ru 2.97
Cd1 0.7500 0.7500 0.7500  4 Dy 2.97, 4 Mg 2.97
Ru1 0.2500 0.2500 0.2500  4 Dy 2.97, 4 Mg 2.97
Dy1 0.0000 0.0000 0.0000  4 Cd 2.97, 4 Ru 2.97

7.
Here is a relaxed DyMgCdSn crystal from the Alexandria database. Energies are from PBE-GGA.

Calculated values
* polymorph energy (0 for the lowest one): 0.1424 eV/atom
* total moment: 0.00 μB/cell
* space group: No. 216
* energy of formation: -297 meV per atom

Unit cell a=5.1690 b=5.1690 c=5.1690 alpha=60.00 beta=60.00 gamma=60.00
Last column: nearest neighbours and their distance in Å.
Fractional positions:
Cd1 0.7500 0.7500 0.7500  4 Dy 3.17, 4 Mg 3.17
Sn1 0.2500 0.2500 0.2500  4 Mg 3.17, 4 Dy 3.17
Dy1 0.5000 0.5000 0.5000  4 Cd 3.17, 4 Sn 3.17
Mg1 0.0000 0.0000 0.0000  4 Cd 3.17, 4 Sn 3.17

8.
Here is a relaxed DyMgCdSn crystal from the Alexandria database. Energies are from PBE-GGA.

Calculated values
* polymorph energy (0 for the lowest one): 0.0000 eV/atom
* total moment: 0.00 μB/cell
* space group: No. 47
* energy of formation: -440 meV per atom

Unit cell a=4.3865 b=4.5495 c=4.8003 alpha=90.00 beta=90.00 gamma=90.00
Last column: nearest neighbours and their distance in Å.
Fractional positions:
Dy1 0.5000 0.0000 0.5000  4 Sn 3.16, 4 Cd 3.25, 4 Mg 3.31
Mg1 0.5000 0.5000 0.0000  4 Cd 3.16, 4 Sn 3.25, 4 Dy 3.31
Cd1 0.0000 0.0000 0.0000  4 Mg 3.16, 4 Dy 3.25, 4 Sn 3.31
Sn1 0.0000 0.5000 0.5000  4 Dy 3.16, 4 Mg 3.25, 4 Cd 3.31

9.
Here is a relaxed Sr2DyMg12Cd3 crystal from the Alexandria database. Energies are from PBE-GGA.

Calculated values
* total moment: 0.00 μB/cell
* space group: No. 166
* energy of formation: 194 meV per atom

Unit cell a=9.7609 b=9.7609 c=9.7609 alpha=53.74 beta=53.74 gamma=53.74
Last column: nearest neighbours and their distance in Å.
Fractional positions:
Mg1 0.8630 0.2182 0.2182  2 Cd 2.82, 1 Dy 3.08, 2 Mg 3.13
Mg2 0.1370 0.7818 0.7818  2 Cd 2.82, 1 Dy 3.08, 2 Mg 3.13
Mg3 0.8245 0.4499 0.8245  7 Mg 3.23-3.59, 1 Dy 3.29, 1 Cd 3.40, 1 Sr 3.53
Mg4 0.7818 0.7818 0.1370  2 Cd 2.82, 1 Dy 3.08, 2 Mg 3.13
Mg5 0.2182 0.2182 0.8630  2 Cd 2.82, 1 Dy 3.08, 2 Mg 3.13
Mg6 0.7818 0.1370 0.7818  2 Cd 2.82, 1 Dy 3.08, 2 Mg 3.13
Mg7 0.4499 0.8245 0.8245  7 Mg 3.23-3.59, 1 Dy 3.29, 1 Cd 3.40, 1 Sr 3.53
Mg8 0.8245 0.8245 0.4499  7 Mg 3.23-3.59, 1 Dy 3.29, 1 Cd 3.40, 1 Sr 3.53
Mg9 0.1755 0.1755 0.5501  7 Mg 3.23-3.59, 1 Dy 3.29, 1 Cd 3.40, 1 Sr 3.53
Mg10 0.2182 0.8630 0.2182  2 Cd 2.82, 1 Dy 3.08, 2 Mg 3.13
Mg11 0.1755 0.5501 0.1755  7 Mg 3.23-3.59, 1 Dy 3.29, 1 Cd 3.40, 1 Sr 3.53
Mg12 0.5501 0.1755 0.1755  7 Mg 3.23-3.59, 1 Dy 3.29, 1 Cd 3.40, 1 Sr 3.53
Cd1 0.5000 0.0000 0.0000  4 Mg 2.82
Cd2 0.0000 0.0000 0.5000  4 Mg 2.82
Cd3 0.0000 0.5000 0.0000  4 Mg 2.82
Sr1 0.5809 0.5809 0.5809  6 Mg 3.30-3.53
Sr2 0.4191 0.4191 0.4191  6 Mg 3.30-3.53
Dy1 0.0000 0.0000 0.0000  12 Mg 3.08-3.29

10.
Here is a relaxed SrDyMg2Cd4 crystal from the Alexandria database. Energies are from PBE-GGA.

Calculated values
* total moment: 0.00 μB/cell
* space group: No. 166
* energy of formation: -267 meV per atom

Unit cell a=5.1759 b=5.1759 c=9.1141 alpha=73.50 beta=73.50 gamma=60.00
Last column: nearest neighbours and their distance in Å.
Fractional positions:
Cd1 0.3801 0.3801 0.8596  1 Dy 3.10, 4 Mg 3.16-3.43, 3 Sr 3.22
Cd2 0.1275 0.1275 0.6175  4 Mg 3.09-3.17, 3 Dy 3.15, 1 Sr 3.29
Cd3 0.6199 0.6199 0.1404  1 Dy 3.10, 4 Mg 3.16-3.43, 3 Sr 3.22
Cd4 0.8725 0.8725 0.3825  4 Mg 3.09-3.17, 3 Dy 3.15, 1 Sr 3.29
Dy1 0.5000 0.5000 0.5000  8 Cd 3.10-3.15
Mg1 0.2472 0.2472 0.2583  8 Cd 3.09-3.43
Mg2 0.7528 0.7528 0.7417  8 Cd 3.09-3.43
Sr1 0.0000 0.0000 0.0000  8 Cd 3.22-3.29

Number 1: electronic total energy -2.81 eV per atom, calculated volume 27.027 Å³/atom, D(E_F) 7.65 states/eV/cell. Number 2: electronic total energy -3.17 eV per atom, calculated volume 27.504 Å³/atom, D(E_F) 4.74 states/eV/cell. Number 3: electronic total energy -3.17 eV per atom, calculated volume 27.497 Å³/atom, D(E_F) 4.89 states/eV/cell. Number 4: electronic total energy -3.93 eV per atom, calculated volume 20.788 Å³/atom, D(E_F) 3.83 states/eV/cell. Number 5: electronic total energy -4.02 eV per atom, calculated volume 20.421 Å³/atom, D(E_F) 2.50 states/eV/cell. Number 6: electronic total energy -4.21 eV per atom, calculated volume 20.206 Å³/atom, D(E_F) 3.43 states/eV/cell. Number 7: electronic total energy -3.08 eV per atom, calculated volume 24.414 Å³/atom, D(E_F) 2.80 states/eV/cell. Number 8: electronic total energy -3.22 eV per atom, calculated volume 23.950 Å³/atom, D(E_F) 1.41 states/eV/cell. Number 9: electronic total energy -1.46 eV per atom, calculated volume 31.182 Å³/atom, D(E_F) 9.68 states/eV/cell. Number 10: electronic total energy -1.91 eV per atom, calculated volume 24.971 Å³/atom, D(E_F) 3.72 states/eV/cell.